Entry 1:
## ReWBr (PBE-GGA)

Data for a geometry-optimized ReWBr structure.

Geometry as CIF:
```
data_ReWBr
_chemical_formula_sum 'Re1 W1 Br1'
_space_group_name_H-M_alt 'P 3 m 1'
_space_group_IT_number 156
_cell_length_a 4.3451
_cell_length_b 4.3451
_cell_length_c 2.9876
_cell_angle_alpha 90.00
_cell_angle_beta 90.00
_cell_angle_gamma 120.00
loop_
_space_group_symop_operation_xyz
'x,y,z'
'-y,x-y,z'
'-x+y,-x,z'
'-y,-x,z'
'-x+y,y,z'
'x,x-y,z'
loop_
_atom_site_label
_atom_site_type_symbol
_atom_site_fract_x
_atom_site_fract_y
_atom_site_fract_z
_atom_site_occupancy
Re1 Re 0.0000 0.0000 0.0000 1
W1 W 0.6667 0.3333 0.5149 1
Br1 Br 0.3333 0.6667 0.7414 1
```

Summary:
V   16.28 Å³ per atom
Formation energy without anion corrections   3.28 eV/f.u.
Crystal system   trigonal
ΔE to the lowest computed polymorph   11.49 kcal/mol of atoms

=====

Entry 2:
## BC5 (PBE-GGA)

Data for a geometry-optimized BC5 structure.

Geometry as CIF:
```
data_BC5
_chemical_formula_sum 'B4 C20'
_space_group_name_H-M_alt 'C 1 2/m 1'
_space_group_IT_number 12
_cell_length_a 13.3626
_cell_length_b 2.5536
_cell_length_c 4.4904
_cell_angle_alpha 90.00
_cell_angle_beta 109.56
_cell_angle_gamma 90.00
loop_
_space_group_symop_operation_xyz
'x,y,z'
'-x,-y,-z'
'-x,y,-z'
'x,-y,z'
'x+1/2,y+1/2,z'
'-x+1/2,-y+1/2,-z'
'-x+1/2,y+1/2,-z'
'x+1/2,-y+1/2,z'
loop_
_atom_site_label
_atom_site_type_symbol
_atom_site_fract_x
_atom_site_fract_y
_atom_site_fract_z
_atom_site_occupancy
B1 B 0.1044 0.0000 0.4302 1
C1 C 0.0584 0.5000 0.5686 1
C2 C 0.0612 0.0000 0.0526 1
C3 C 0.1020 0.5000 0.9328 1
C4 C 0.2284 0.5000 0.0607 1
C5 C 0.2344 0.0000 0.5689 1
```

Summary:
V   6.02 Å³ per atom
Crystal system   monoclinic
ΔE to the lowest computed polymorph   1.02 kcal/mol of atoms

=====

Entry 3:
## CdIF (PBE-GGA)

Data for a geometry-optimized CdIF structure.

Geometry as CIF:
```
data_CdIF
_chemical_formula_sum 'Cd2 I2 F2'
_space_group_name_H-M_alt 'P m m n'
_space_group_IT_number 59
_cell_length_a 4.1313
_cell_length_b 4.1999
_cell_length_c 9.9995
_cell_angle_alpha 90.00
_cell_angle_beta 90.00
_cell_angle_gamma 90.00
loop_
_space_group_symop_operation_xyz
'x,y,z'
'-x,-y,-z'
'-x+1/2,-y+1/2,z'
'x+1/2,y+1/2,-z'
'x+1/2,-y,-z'
'-x+1/2,y,z'
'-x,y+1/2,-z'
'x,-y+1/2,z'
loop_
_atom_site_label
_atom_site_type_symbol
_atom_site_fract_x
_atom_site_fract_y
_atom_site_fract_z
_atom_site_occupancy
Cd1 Cd 0.2500 0.2500 0.1271 1
I1 I 0.2500 0.7500 0.6805 1
F1 F 0.2500 0.7500 0.0274 1
```

Summary:
V   28.92 Å³ per atom
Formation energy without anion corrections   -4.08 eV/f.u.
Crystal system   orthorhombic
ΔE to the lowest computed polymorph   0.00 kcal/mol of atoms

=====

Entry 4:
## Hf6ReOs (PBE-GGA)

Data for a geometry-optimized Hf6ReOs structure.

Geometry as CIF:
```
data_Hf6ReOs
_chemical_formula_sum 'Hf12 Re2 Os2'
_space_group_name_H-M_alt 'C 1 2/m 1'
_space_group_IT_number 12
_cell_length_a 6.2525
_cell_length_b 9.1075
_cell_length_c 5.7307
_cell_angle_alpha 90.00
_cell_angle_beta 104.84
_cell_angle_gamma 90.00
loop_
_space_group_symop_operation_xyz
'x,y,z'
'-x,-y,-z'
'-x,y,-z'
'x,-y,z'
'x+1/2,y+1/2,z'
'-x+1/2,-y+1/2,-z'
'-x+1/2,y+1/2,-z'
'x+1/2,-y+1/2,z'
loop_
_atom_site_label
_atom_site_type_symbol
_atom_site_fract_x
_atom_site_fract_y
_atom_site_fract_z
_atom_site_occupancy
Hf1 Hf 0.0907 0.2491 0.2693 1
Hf2 Hf 0.2485 0.5000 0.0009 1
Re1 Re 0.0000 0.5000 0.5000 1
Os1 Os 0.0000 0.0000 0.5000 1
```

Summary:
V   19.72 Å³ per atom
Crystal system   monoclinic
ΔE to the lowest computed polymorph   2.33 kcal/mol of atoms

=====

Entry 5:
## ScHRh3 (PBE-GGA)

Data for a geometry-optimized ScHRh3 structure.

Geometry as CIF:
```
data_ScHRh3
_chemical_formula_sum 'Sc4 H4 Rh12'
_space_group_name_H-M_alt 'P n m a'
_space_group_IT_number 62
_cell_length_a 5.2330
_cell_length_b 7.1032
_cell_length_c 7.4316
_cell_angle_alpha 90.00
_cell_angle_beta 90.00
_cell_angle_gamma 90.00
loop_
_space_group_symop_operation_xyz
'x,y,z'
'-x,-y,-z'
'-x+1/2,-y,z+1/2'
'x+1/2,y,-z+1/2'
'x+1/2,-y+1/2,-z+1/2'
'-x+1/2,y+1/2,z+1/2'
'-x,y+1/2,-z'
'x,-y+1/2,z'
loop_
_atom_site_label
_atom_site_type_symbol
_atom_site_fract_x
_atom_site_fract_y
_atom_site_fract_z
_atom_site_occupancy
Sc1 Sc 0.0000 0.0000 0.0000 1
H1 H 0.0849 0.2500 0.4176 1
Rh1 Rh 0.0441 0.5776 0.3459 1
Rh2 Rh 0.2157 0.7500 0.7200 1
```

Summary:
V   13.81 Å³ per atom
Crystal system   orthorhombic
ΔE to the lowest computed polymorph   7.80 kcal/mol of atoms

=====

Entry 6:
## NaAcPb2 (PBE-GGA)

Data for a geometry-optimized NaAcPb2 structure.

Geometry as CIF:
```
data_NaAcPb2
_chemical_formula_sum 'Na1 Ac1 Pb2'
_space_group_name_H-M_alt 'P 4/m m m'
_space_group_IT_number 123
_space_group_name_Hall '-P 4 2'
_cell_length_a 3.8921
_cell_length_b 3.8921
_cell_length_c 8.4730
_cell_angle_alpha 90.00
_cell_angle_beta 90.00
_cell_angle_gamma 90.00
loop_
_atom_site_label
_atom_site_type_symbol
_atom_site_fract_x
_atom_site_fract_y
_atom_site_fract_z
_atom_site_occupancy
Na1 Na 0.0000 0.0000 0.0000 1
Ac1 Ac 0.0000 0.0000 0.5000 1
Pb1 Pb 0.5000 0.5000 0.2245 1
```

Summary:
Energy   -3.51 eV per atom
V   32.09 Å³ per atom
Crystal system   tetragonal

=====

Entry 7:
## AcLa4Tb (PBE-GGA)

Data for a geometry-optimized AcLa4Tb structure.

Geometry as CIF:
```
data_AcLa4Tb
_chemical_formula_sum 'Ac4 La16 Tb4'
_space_group_name_H-M_alt 'I m m a'
_space_group_IT_number 74
_space_group_name_Hall '-I 2b 2'
_cell_length_a 7.0267
_cell_length_b 12.1892
_cell_length_c 10.5378
_cell_angle_alpha 90.00
_cell_angle_beta 90.00
_cell_angle_gamma 90.00
loop_
_atom_site_label
_atom_site_type_symbol
_atom_site_fract_x
_atom_site_fract_y
_atom_site_fract_z
_atom_site_occupancy
Ac1 Ac 0.0000 0.0000 0.0000 1
La1 La 0.0000 0.0254 0.3507 1
La2 La 0.2243 0.2500 0.5953 1
Tb1 Tb 0.2500 0.2500 0.2500 1
```

Summary:
V   37.61 Å³ per atom
Crystal system   orthorhombic
ΔE to the lowest computed polymorph   0.30 kcal/mol of atoms

=====

Entry 8:
## RbAgBiTe2 (PBE-GGA)

Data for a geometry-optimized RbAgBiTe2 structure.

Geometry as CIF:
```
data_RbAgBiTe2
_chemical_formula_sum 'Rb1 Ag1 Bi1 Te2'
_space_group_name_H-M_alt 'P 4/m m m'
_space_group_IT_number 123
_space_group_name_Hall '-P 4 2'
_cell_length_a 5.5474
_cell_length_b 5.5474
_cell_length_c 5.7249
_cell_angle_alpha 90.00
_cell_angle_beta 90.00
_cell_angle_gamma 90.00
loop_
_atom_site_label
_atom_site_type_symbol
_atom_site_fract_x
_atom_site_fract_y
_atom_site_fract_z
_atom_site_occupancy
Rb1 Rb 0.0000 0.0000 0.0000 1
Ag1 Ag 0.0000 0.0000 0.5000 1
Bi1 Bi 0.5000 0.5000 0.0000 1
Te1 Te 0.0000 0.5000 0.5000 1
```

Summary:
V   35.24 Å³ per atom
Formation energy without anion corrections   0.77 eV/f.u.
Crystal system   tetragonal
ΔE to the lowest computed polymorph   10.68 kcal/mol of atoms

=====

Entry 9:
## YGaPCl2 (PBE-GGA)

Data for a geometry-optimized YGaPCl2 structure.

Geometry as CIF:
```
data_YGaPCl2
_chemical_formula_sum 'Y1 Ga1 P1 Cl2'
_space_group_name_H-M_alt 'P 4/m m m'
_space_group_IT_number 123
_space_group_name_Hall '-P 4 2'
_cell_length_a 4.7902
_cell_length_b 4.7902
_cell_length_c 4.9583
_cell_angle_alpha 90.00
_cell_angle_beta 90.00
_cell_angle_gamma 90.00
loop_
_atom_site_label
_atom_site_type_symbol
_atom_site_fract_x
_atom_site_fract_y
_atom_site_fract_z
_atom_site_occupancy
Y1 Y 0.0000 0.0000 0.0000 1
Ga1 Ga 0.5000 0.5000 0.5000 1
P1 P 0.5000 0.5000 0.0000 1
Cl1 Cl 0.0000 0.5000 0.5000 1
```

Summary:
V   22.75 Å³ per atom
Formation energy without anion corrections   -2.77 eV/f.u.
Crystal system   tetragonal
ΔE to the lowest computed polymorph   6.82 kcal/mol of atoms

=====

Entry 10:
## Ba2Ta2N (PBE-GGA)

Data for a geometry-optimized Ba2Ta2N structure.

Geometry as CIF:
```
data_Ba2Ta2N
_chemical_formula_sum 'Ba4 Ta4 N2'
_space_group_name_H-M_alt 'I 4/m m m'
_space_group_IT_number 139
_space_group_name_Hall '-I 4 2'
_cell_length_a 3.6434
_cell_length_b 3.6434
_cell_length_c 20.5674
_cell_angle_alpha 90.00
_cell_angle_beta 90.00
_cell_angle_gamma 90.00
loop_
_atom_site_label
_atom_site_type_symbol
_atom_site_fract_x
_atom_site_fract_y
_atom_site_fract_z
_atom_site_occupancy
Ba1 Ba 0.0000 0.0000 0.0759 1
Ta1 Ta 0.0000 0.5000 0.2500 1
N1 N 0.0000 0.0000 0.5000 1
```

Summary:
V   27.30 Å³ per atom
Formation energy without anion corrections   3.25 eV/f.u.
Crystal system   tetragonal
ΔE to the lowest computed polymorph   0.00 kcal/mol of atoms

=====

Entry 11:
## CsURuO6 (PBE-GGA)

Data for a geometry-optimized CsURuO6 structure.

Geometry as CIF:
```
data_CsURuO6
_chemical_formula_sum 'Cs4 U4 Ru4 O24'
_space_group_name_H-M_alt 'I m m a'
_space_group_IT_number 74
_space_group_name_Hall '-I 2b 2'
_cell_length_a 7.2842
_cell_length_b 7.9148
_cell_length_c 10.7365
_cell_angle_alpha 90.00
_cell_angle_beta 90.00
_cell_angle_gamma 90.00
loop_
_atom_site_label
_atom_site_type_symbol
_atom_site_fract_x
_atom_site_fract_y
_atom_site_fract_z
_atom_site_occupancy
Cs1 Cs 0.0000 0.2500 0.1140 1
U1 U 0.0000 0.0000 0.5000 1
Ru1 Ru 0.2500 0.2500 0.7500 1
O1 O 0.0000 0.2500 0.4242 1
O2 O 0.0000 0.2500 0.7896 1
O3 O 0.2035 0.0728 0.6229 1
```

Summary:
V   17.19 Å³ per atom
Formation energy without anion corrections   -18.66 eV/f.u.
Crystal system   orthorhombic

=====

Entry 12:
## Na3Hg3Sb (PBE-GGA)

Data for a geometry-optimized Na3Hg3Sb structure.

Geometry as CIF:
```
data_Na3Hg3Sb
_chemical_formula_sum 'Na6 Hg6 Sb2'
_space_group_name_H-M_alt 'P m -3 n'
_space_group_IT_number 223
_space_group_name_Hall '-P 4n 2 3'
_cell_length_a 8.0440
_cell_length_b 8.0440
_cell_length_c 8.0440
_cell_angle_alpha 90.00
_cell_angle_beta 90.00
_cell_angle_gamma 90.00
loop_
_atom_site_label
_atom_site_type_symbol
_atom_site_fract_x
_atom_site_fract_y
_atom_site_fract_z
_atom_site_occupancy
Na1 Na 0.0000 0.2500 0.5000 1
Hg1 Hg 0.0000 0.5000 0.2500 1
Sb1 Sb 0.0000 0.0000 0.0000 1
```

Summary:
V   37.18 Å³ per atom
Formation energy without anion corrections   1.53 eV/f.u.
Crystal system   cubic
ΔE to the lowest computed polymorph   9.87 kcal/mol of atoms

=====

What is the formula in the sixth record? NaAcPb2

=====

Which value of V does entry 4 give? 19.72 Å³ per atom